RbPmNiF6: relaxed, PBE+U.

Cell and atoms, written as POSCAR:
```
RbPmNiF6
1.0
-2.261 7.486 0.220
0.038 -0.204 7.346
6.023 -2.158 -3.767
Rb Pm Ni F
2 2 2 12
Cartesian
2.179 4.688 1.957 Rb
1.621 0.435 1.842 Rb
1.881 2.664 -1.774 Pm
3.011 -1.079 -1.884 Pm
-1.111 3.641 3.783 Ni
-1.131 3.743 0.110 Ni
-0.253 3.846 5.622 F
2.470 4.884 -1.715 F
-0.240 5.541 0.302 F
0.627 2.637 3.599 F
0.609 2.731 0.220 F
-0.222 5.447 3.682 F
4.053 1.278 -1.824 F
1.330 0.240 5.514 F
4.040 -0.417 3.496 F
3.173 2.487 0.199 F
3.191 2.393 3.579 F
4.022 -0.323 0.117 F
```

## Properties
D(E_F) (states/eV/f.u.): 0.00
Total DFT energy (no corrections) (eV/atom): -5.311
Space group: Imma, No. 74